Here is a relaxed Nd2Cu2Ni15 crystal from Alexandria. Energies are from PBE.

CIF file:
```
data_Nd2Cu2Ni15
_space_group_name_H-M_alt 'R -3 m'
_space_group_IT_number 166
_space_group_name_Hall '-R 3 2"'
_cell_length_a 8.3896
_cell_length_b 8.3896
_cell_length_c 12.1599
_cell_angle_alpha 90.00
_cell_angle_beta 90.00
_cell_angle_gamma 120.00
loop_
_atom_site_label
_atom_site_type_symbol
_atom_site_fract_x
_atom_site_fract_y
_atom_site_fract_z
_atom_site_occupancy
Nd1 Nd 0.0000 0.0000 0.1576 1
Cu1 Cu 0.0000 0.0000 0.4020 1
Ni1 Ni 0.0000 0.2926 0.5000 1
Ni2 Ni 0.0000 0.5000 0.0000 1
Ni3 Ni 0.0020 0.5010 0.3449 1
```

Summary:
**Energy**: -5.66 eV/atom
**Crystal system**: trigonal
**Formation energy from the elements**: -0.165 eV/atom

Here is a relaxed Ba2TaTiS6 crystal from Alexandria. Energies are from PBE.

CIF file:
```
data_Ba2TaTiS6
_space_group_name_H-M_alt 'R -3 m'
_space_group_IT_number 166
_space_group_name_Hall '-R 3 2"'
_cell_length_a 6.8993
_cell_length_b 6.8993
_cell_length_c 34.2943
_cell_angle_alpha 90.00
_cell_angle_beta 90.00
_cell_angle_gamma 120.00
loop_
_atom_site_label
_atom_site_type_symbol
_atom_site_fract_x
_atom_site_fract_y
_atom_site_fract_z
_atom_site_occupancy
Ba1 Ba 0.0000 0.0000 0.1221 1
Ba2 Ba 0.0000 0.0000 0.2943 1
Ta1 Ta 0.0000 0.0000 0.0000 1
Ta2 Ta 0.0000 0.0000 0.5000 1
Ti1 Ti 0.0000 0.0000 0.4183 1
S1 S 0.0002 0.5001 0.2923 1
S2 S 0.0011 0.5005 0.8759 1
```

Summary:
**Energy**: -6.41 eV/atom
**Crystal system**: trigonal
**ΔE_f (raw)**: -1571 meV per atom

Here is a relaxed SrMo4W crystal from Alexandria. Energies are from PBE.

CIF file:
```
data_SrMo4W
_space_group_name_H-M_alt 'F -4 3 m'
_space_group_IT_number 216
_space_group_name_Hall 'F -4 2 3'
_cell_length_a 7.636
_cell_length_b 7.636
_cell_length_c 7.636
_cell_angle_alpha 90.00
_cell_angle_beta 90.00
_cell_angle_gamma 90.00
loop_
_atom_site_label
_atom_site_type_symbol
_atom_site_fract_x
_atom_site_fract_y
_atom_site_fract_z
_atom_site_occupancy
Sr1 Sr 0.000 0.000 0.000 1
Mo1 Mo 0.125 0.125 0.375 1
W1 W 0.250 0.250 0.750 1
```

Summary:
**Energy**: -8.98 eV/atom
**Crystal system**: cubic
**Formation energy from the elements**: 0.684 eV/atom

Here is a relaxed Lu3Ag crystal from Alexandria. Energies are from PBE.

CIF file:
```
data_Lu3Ag
_space_group_name_H-M_alt 'P m m 2'
_space_group_IT_number 25
_cell_length_a 3.402
_cell_length_b 3.537
_cell_length_c 9.370
_cell_angle_alpha 90.00
_cell_angle_beta 90.00
_cell_angle_gamma 90.00
loop_
_space_group_symop_operation_xyz
'x,y,z'
'-x,-y,z'
'-x,y,z'
'x,-y,z'
loop_
_atom_site_label
_atom_site_type_symbol
_atom_site_fract_x
_atom_site_fract_y
_atom_site_fract_z
_atom_site_occupancy
Lu1 Lu 0.000 0.000 0.000 1
Lu2 Lu 0.000 0.500 0.314 1
Lu3 Lu 0.500 0.500 0.746 1
Ag1 Ag 0.500 0.000 0.487 1
```

Summary:
**Energy**: -4.01 eV/atom
**Crystal system**: orthorhombic
**Formation energy from the elements**: 0.089 eV/atom
**Excess energy over the best structure of this formula in the dataset**: 0.86 eV per formula unit

Here is a relaxed ScPdS3 crystal from Alexandria. Energies are from PBE.

CIF file:
```
data_ScPdS3
_space_group_name_H-M_alt 'P m -3 m'
_space_group_IT_number 221
_space_group_name_Hall '-P 4 2 3'
_cell_length_a 4.872
_cell_length_b 4.872
_cell_length_c 4.872
_cell_angle_alpha 90.00
_cell_angle_beta 90.00
_cell_angle_gamma 90.00
loop_
_atom_site_label
_atom_site_type_symbol
_atom_site_fract_x
_atom_site_fract_y
_atom_site_fract_z
_atom_site_occupancy
Sc1 Sc 0.000 0.000 0.000 1
Pd1 Pd 0.500 0.500 0.500 1
S1 S 0.000 0.000 0.500 1
```

Summary:
**Energy**: -4.83 eV/atom
**Crystal system**: cubic
**ΔE_f (raw)**: -48 meV per atom
**Excess energy over the best structure of this formula in the dataset**: 0.96 eV per formula unit

Here is a relaxed Mn3VIr crystal from Alexandria. Energies are from PBE.

CIF file:
```
data_Mn3VIr
_space_group_name_H-M_alt 'P m -3 m'
_space_group_IT_number 221
_space_group_name_Hall '-P 4 2 3'
_cell_length_a 4.272
_cell_length_b 4.272
_cell_length_c 4.272
_cell_angle_alpha 90.00
_cell_angle_beta 90.00
_cell_angle_gamma 90.00
loop_
_atom_site_label
_atom_site_type_symbol
_atom_site_fract_x
_atom_site_fract_y
_atom_site_fract_z
_atom_site_occupancy
Mn1 Mn 0.000 0.000 0.500 1
V1 V 0.000 0.000 0.000 1
Ir1 Ir 0.500 0.500 0.500 1
```

Summary:
**Energy**: -8.02 eV/atom
**Crystal system**: cubic
**Formation energy from the elements**: 1.082 eV/atom
**Excess energy over the best structure of this formula in the dataset**: 0.00 eV per formula unit

Repeat the first record exactly.
Here is a relaxed Nd2Cu2Ni15 crystal from Alexandria. Energies are from PBE.

CIF file:
```
data_Nd2Cu2Ni15
_space_group_name_H-M_alt 'R -3 m'
_space_group_IT_number 166
_space_group_name_Hall '-R 3 2"'
_cell_length_a 8.3896
_cell_length_b 8.3896
_cell_length_c 12.1599
_cell_angle_alpha 90.00
_cell_angle_beta 90.00
_cell_angle_gamma 120.00
loop_
_atom_site_label
_atom_site_type_symbol
_atom_site_fract_x
_atom_site_fract_y
_atom_site_fract_z
_atom_site_occupancy
Nd1 Nd 0.0000 0.0000 0.1576 1
Cu1 Cu 0.0000 0.0000 0.4020 1
Ni1 Ni 0.0000 0.2926 0.5000 1
Ni2 Ni 0.0000 0.5000 0.0000 1
Ni3 Ni 0.0020 0.5010 0.3449 1
```

Summary:
**Energy**: -5.66 eV/atom
**Crystal system**: trigonal
**Formation energy from the elements**: -0.165 eV/atom

Please write out number 1 again, unchanged.
Here is a relaxed Nd2Cu2Ni15 crystal from Alexandria. Energies are from PBE.

CIF file:
```
data_Nd2Cu2Ni15
_space_group_name_H-M_alt 'R -3 m'
_space_group_IT_number 166
_space_group_name_Hall '-R 3 2"'
_cell_length_a 8.3896
_cell_length_b 8.3896
_cell_length_c 12.1599
_cell_angle_alpha 90.00
_cell_angle_beta 90.00
_cell_angle_gamma 120.00
loop_
_atom_site_label
_atom_site_type_symbol
_atom_site_fract_x
_atom_site_fract_y
_atom_site_fract_z
_atom_site_occupancy
Nd1 Nd 0.0000 0.0000 0.1576 1
Cu1 Cu 0.0000 0.0000 0.4020 1
Ni1 Ni 0.0000 0.2926 0.5000 1
Ni2 Ni 0.0000 0.5000 0.0000 1
Ni3 Ni 0.0020 0.5010 0.3449 1
```

Summary:
**Energy**: -5.66 eV/atom
**Crystal system**: trigonal
**Formation energy from the elements**: -0.165 eV/atom

Question: Among the records above, which one has the highest energy?
Answer: Lu3Ag